The following is a GGA-PBE calculation of crystalline AlWAu2 at its relaxed geometry, from Alexandria.

## Properties
The value obtained for the raw total energy is -5.673 eV/atom. The calculation puts the total moment at 0.00 μB/atom.

Cell lengths 9.247, 9.247, 9.247 Å; angles 18.03, 18.03, 18.03 degrees
Sites, in units of the cell vectors:
Au1 0.496 0.496 0.496
Al1 0.750 0.750 0.750
W1 0.250 0.250 0.250
Au2 0.004 0.004 0.004